NaBi2MoRu: optimized geometry, GGA-PBE.

CIF file:
```
data_NaBi2MoRu
_chemical_formula_sum 'Na1 Bi2 Mo1 Ru1'
_space_group_name_H-M_alt 'P 4/m m m'
_space_group_IT_number 123
_space_group_name_Hall '-P 4 2'
_cell_length_a 5.302
_cell_length_b 5.302
_cell_length_c 5.327
_cell_angle_alpha 90.00
_cell_angle_beta 90.00
_cell_angle_gamma 90.00
loop_
_atom_site_label
_atom_site_type_symbol
_atom_site_fract_x
_atom_site_fract_y
_atom_site_fract_z
Na1 Na 0.000 0.000 0.000
Bi1 Bi 0.000 0.500 0.500
Mo1 Mo 0.000 0.000 0.500
Ru1 Ru 0.500 0.500 0.000
```

Summary:
Calculated formation energy   1.450 eV/atom
Calculated density   7.074 g/cm³
E   -4.387 eV/atom
Density of states at the Fermi level   0.75 states/eV per atom



NaBiMo2S: optimized geometry, GGA-PBE.

CIF file:
```
data_NaBiMo2S
_chemical_formula_sum 'Na1 Bi1 Mo2 S1'
_space_group_name_H-M_alt 'P 4/m m m'
_space_group_IT_number 123
_space_group_name_Hall '-P 4 2'
_cell_length_a 4.498
_cell_length_b 4.498
_cell_length_c 5.586
_cell_angle_alpha 90.00
_cell_angle_beta 90.00
_cell_angle_gamma 90.00
loop_
_atom_site_label
_atom_site_type_symbol
_atom_site_fract_x
_atom_site_fract_y
_atom_site_fract_z
Na1 Na 0.000 0.000 0.000
Bi1 Bi 0.500 0.500 0.000
Mo1 Mo 0.000 0.500 0.500
S1 S 0.500 0.500 0.500
```

Summary:
Formation energy without anion corrections   723 meV per atom
Calculated density   6.697 g/cm³
E   -5.475 eV/atom
Density of states at the Fermi level   1.09 states/eV per atom



NaTaBiMo2: optimized geometry, GGA-PBE.

CIF file:
```
data_NaTaBiMo2
_chemical_formula_sum 'Na1 Ta1 Bi1 Mo2'
_space_group_name_H-M_alt 'P 4/m m m'
_space_group_IT_number 123
_space_group_name_Hall '-P 4 2'
_cell_length_a 4.775
_cell_length_b 4.775
_cell_length_c 5.456
_cell_angle_alpha 90.00
_cell_angle_beta 90.00
_cell_angle_gamma 90.00
loop_
_atom_site_label
_atom_site_type_symbol
_atom_site_fract_x
_atom_site_fract_y
_atom_site_fract_z
Na1 Na 0.000 0.000 0.000
Ta1 Ta 0.000 0.000 0.500
Bi1 Bi 0.500 0.500 0.000
Mo1 Mo 0.000 0.500 0.500
```

Summary:
Calculated formation energy   1.543 eV/atom
Calculated density   8.073 g/cm³
E   -6.200 eV/atom
Density of states at the Fermi level   1.19 states/eV per atom



NbBi2Mo: optimized geometry, GGA-PBE.

CIF file:
```
data_NbBi2Mo
_chemical_formula_sum 'Nb4 Bi8 Mo4'
_space_group_name_H-M_alt 'F -4 3 m'
_space_group_IT_number 216
_space_group_name_Hall 'F -4 2 3'
_cell_length_a 7.055
_cell_length_b 7.055
_cell_length_c 7.055
_cell_angle_alpha 90.00
_cell_angle_beta 90.00
_cell_angle_gamma 90.00
loop_
_atom_site_label
_atom_site_type_symbol
_atom_site_fract_x
_atom_site_fract_y
_atom_site_fract_z
Nb1 Nb 0.000 0.000 0.000
Bi1 Bi 0.000 0.000 0.500
Bi2 Bi 0.250 0.250 0.250
Mo1 Mo 0.250 0.250 0.750
```

Summary:
Calculated formation energy   0.681 eV/atom
Excess energy over the best structure of this formula in the dataset   134 meV per atom
Calculated density   11.477 g/cm³
E   -6.485 eV/atom
Density of states at the Fermi level   0.79 states/eV per atom



Nb2BiMo: optimized geometry, GGA-PBE.

CIF file:
```
data_Nb2BiMo
_chemical_formula_sum 'Nb8 Bi4 Mo4'
_space_group_name_H-M_alt 'I -4 2 d'
_space_group_IT_number 122
_space_group_name_Hall 'I -4 2bw'
_cell_length_a 4.064
_cell_length_b 4.064
_cell_length_c 20.149
_cell_angle_alpha 90.00
_cell_angle_beta 90.00
_cell_angle_gamma 90.00
loop_
_atom_site_label
_atom_site_type_symbol
_atom_site_fract_x
_atom_site_fract_y
_atom_site_fract_z
Nb1 Nb 0.249 0.250 0.125
Bi1 Bi 0.000 0.000 0.000
Mo1 Mo 0.000 0.000 0.500
```

Summary:
Calculated formation energy   0.833 eV/atom
Calculated density   9.792 g/cm³
E   -7.880 eV/atom
Density of states at the Fermi level   0.95 states/eV per atom



NbBi2Mo: optimized geometry, GGA-PBE.

CIF file:
```
data_NbBi2Mo
_chemical_formula_sum 'Nb4 Bi8 Mo4'
_space_group_name_H-M_alt 'F m -3 m'
_space_group_IT_number 225
_space_group_name_Hall '-F 4 2 3'
_cell_length_a 6.961
_cell_length_b 6.961
_cell_length_c 6.961
_cell_angle_alpha 90.00
_cell_angle_beta 90.00
_cell_angle_gamma 90.00
loop_
_atom_site_label
_atom_site_type_symbol
_atom_site_fract_x
_atom_site_fract_y
_atom_site_fract_z
Nb1 Nb 0.000 0.000 0.000
Bi1 Bi 0.250 0.250 0.250
Mo1 Mo 0.000 0.000 0.500
```

Summary:
Calculated formation energy   0.546 eV/atom
Excess energy over the best structure of this formula in the dataset   0 meV per atom
Calculated density   11.949 g/cm³
E   -6.620 eV/atom
Density of states at the Fermi level   0.92 states/eV per atom